Record 1
A plane-wave DFT calculation with GGA-PBE was carried out for crystalline La2YNbGe at its relaxed geometry.

CIF file:
```
data_La2YNbGe
_cell_length_a 5.794
_cell_length_b 4.910
_cell_length_c 5.794
_cell_angle_alpha 90.00
_cell_angle_beta 90.00
_cell_angle_gamma 90.00
_symmetry_space_group_name_H-M 'P 1'
_symmetry_Int_Tables_number 1
loop_
_symmetry_equiv_pos_as_xyz
'x,y,z'
loop_
_atom_site_label
_atom_site_fract_x
_atom_site_fract_y
_atom_site_fract_z
_atom_site_occupancy
Ge1 0.500 0.500 0.500 1
La1 0.000 0.000 0.500 1
La2 0.500 0.000 0.000 1
Nb1 0.000 0.500 0.000 1
Y1 0.000 0.000 0.000 1
```

Output
* space-group type: P4/mmm (123)
* raw total energy: -5.10 eV/atom
* calculated formation energy: 1.103 eV/atom

=====

Record 2
A plane-wave DFT calculation with GGA-PBE was carried out for crystalline AcPm7Ho4 at its relaxed geometry.

CIF file:
```
data_AcPm7Ho4
_cell_length_a 7.333
_cell_length_b 6.344
_cell_length_c 11.639
_cell_angle_alpha 79.54
_cell_angle_beta 50.91
_cell_angle_gamma 90.03
_symmetry_space_group_name_H-M 'P 1'
_symmetry_Int_Tables_number 1
loop_
_symmetry_equiv_pos_as_xyz
'x,y,z'
loop_
_atom_site_label
_atom_site_fract_x
_atom_site_fract_y
_atom_site_fract_z
_atom_site_occupancy
Pm1 0.742 0.500 0.002 1
Pm2 0.258 0.500 0.998 1
Pm3 0.084 0.282 0.662 1
Pm4 0.916 0.718 0.338 1
Pm5 0.662 0.225 0.338 1
Pm6 0.338 0.775 0.662 1
Pm7 0.500 0.000 0.000 1
Ho1 0.164 0.218 0.335 1
Ho2 0.836 0.782 0.665 1
Ho3 0.407 0.721 0.336 1
Ho4 0.593 0.279 0.664 1
Ac1 0.000 0.000 0.000 1
```

Output
* space-group type: P-1 (2)
* energy above the lowest structure with this stoichiometry: 0 meV per atom
* raw total energy: -4.63 eV/atom
* calculated formation energy: 0.010 eV/atom

=====

Record 3
A plane-wave DFT calculation with GGA-PBE was carried out for crystalline In2GaNi at its relaxed geometry.

CIF file:
```
data_In2GaNi
_cell_length_a 3.186
_cell_length_b 3.186
_cell_length_c 9.555
_cell_angle_alpha 80.40
_cell_angle_beta 80.40
_cell_angle_gamma 60.00
_symmetry_space_group_name_H-M 'P 1'
_symmetry_Int_Tables_number 1
loop_
_symmetry_equiv_pos_as_xyz
'x,y,z'
loop_
_atom_site_label
_atom_site_fract_x
_atom_site_fract_y
_atom_site_fract_z
_atom_site_occupancy
In1 0.099 0.099 0.704 1
In2 0.901 0.901 0.296 1
Ni1 0.500 0.500 0.500 1
Ga1 0.000 0.000 0.000 1
```

Output
* space-group type: R-3m (166)
* raw total energy: -3.48 eV/atom
* calculated formation energy: 0.095 eV/atom

=====

Record 4
A plane-wave DFT calculation with GGA-PBE was carried out for crystalline Ti12NbPb3 at its relaxed geometry.

CIF file:
```
data_Ti12NbPb3
_cell_length_a 5.271
_cell_length_b 5.294
_cell_length_c 10.498
_cell_angle_alpha 90.00
_cell_angle_beta 90.00
_cell_angle_gamma 90.00
_symmetry_space_group_name_H-M 'P 1'
_symmetry_Int_Tables_number 1
loop_
_symmetry_equiv_pos_as_xyz
'x,y,z'
loop_
_atom_site_label
_atom_site_fract_x
_atom_site_fract_y
_atom_site_fract_z
_atom_site_occupancy
Ti1 0.500 0.000 0.375 1
Ti2 0.749 0.500 0.000 1
Ti3 0.000 0.753 0.738 1
Ti4 0.000 0.247 0.262 1
Ti5 0.000 0.753 0.262 1
Ti6 0.251 0.500 0.000 1
Ti7 0.500 0.000 0.879 1
Ti8 0.000 0.247 0.738 1
Ti9 0.500 0.000 0.625 1
Ti10 0.500 0.000 0.121 1
Ti11 0.239 0.500 0.500 1
Ti12 0.761 0.500 0.500 1
Nb1 0.000 0.000 0.500 1
Pb1 0.500 0.500 0.249 1
Pb2 0.500 0.500 0.751 1
Pb3 0.000 0.000 0.000 1
```

Output
* space-group type: Pmmm (47)
* raw total energy: -7.29 eV/atom
* calculated formation energy: -0.044 eV/atom

=====

Record 5
A plane-wave DFT calculation with GGA-PBE was carried out for crystalline ZnCuIr2Au at its relaxed geometry.

CIF file:
```
data_ZnCuIr2Au
_cell_length_a 4.574
_cell_length_b 4.645
_cell_length_c 4.574
_cell_angle_alpha 90.00
_cell_angle_beta 90.00
_cell_angle_gamma 90.00
_symmetry_space_group_name_H-M 'P 1'
_symmetry_Int_Tables_number 1
loop_
_symmetry_equiv_pos_as_xyz
'x,y,z'
loop_
_atom_site_label
_atom_site_fract_x
_atom_site_fract_y
_atom_site_fract_z
_atom_site_occupancy
Cu1 0.500 0.500 0.500 1
Ir1 0.500 0.000 0.000 1
Ir2 0.000 0.000 0.500 1
Au1 0.000 0.500 0.000 1
Zn1 0.000 0.000 0.000 1
```

Output
* space-group type: P4/mmm (123)
* raw total energy: -3.84 eV/atom
* calculated formation energy: 1.435 eV/atom

=====

Record 6
A plane-wave DFT calculation with GGA-PBE was carried out for crystalline SbAsCl at its relaxed geometry.

CIF file:
```
data_SbAsCl
_cell_length_a 7.409
_cell_length_b 7.409
_cell_length_c 7.409
_cell_angle_alpha 150.18
_cell_angle_beta 150.18
_cell_angle_gamma 42.68
_symmetry_space_group_name_H-M 'P 1'
_symmetry_Int_Tables_number 1
loop_
_symmetry_equiv_pos_as_xyz
'x,y,z'
loop_
_atom_site_label
_atom_site_fract_x
_atom_site_fract_y
_atom_site_fract_z
_atom_site_occupancy
Sb1 0.537 0.537 0.000 1
As1 0.098 0.098 0.000 1
Cl1 0.365 0.365 0.000 1
```

Output
* formation energy without anion corrections: -0.13 eV/atom
* space-group type: I4mm (107)
* energy above the lowest structure with this stoichiometry: 50 meV per atom
* raw total energy: -3.67 eV/atom

=====

Record 7
A plane-wave DFT calculation with GGA-PBE was carried out for crystalline SrBeRh2 at its relaxed geometry.

CIF file:
```
data_SrBeRh2
_cell_length_a 3.726
_cell_length_b 4.256
_cell_length_c 4.256
_cell_angle_alpha 90.00
_cell_angle_beta 90.00
_cell_angle_gamma 90.00
_symmetry_space_group_name_H-M 'P 1'
_symmetry_Int_Tables_number 1
loop_
_symmetry_equiv_pos_as_xyz
'x,y,z'
loop_
_atom_site_label
_atom_site_fract_x
_atom_site_fract_y
_atom_site_fract_z
_atom_site_occupancy
Rh1 0.000 0.500 0.500 1
Rh2 0.000 0.000 0.000 1
Be1 0.500 0.000 0.500 1
Sr1 0.500 0.500 0.000 1
```

Output
* space-group type: P4/mmm (123)
* raw total energy: -4.79 eV/atom
* calculated formation energy: 0.240 eV/atom

=====

Record 8
A plane-wave DFT calculation with GGA-PBE was carried out for crystalline GeHS2Cl at its relaxed geometry.

CIF file:
```
data_GeHS2Cl
_cell_length_a 3.835
_cell_length_b 3.835
_cell_length_c 5.507
_cell_angle_alpha 90.00
_cell_angle_beta 90.00
_cell_angle_gamma 90.00
_symmetry_space_group_name_H-M 'P 1'
_symmetry_Int_Tables_number 1
loop_
_symmetry_equiv_pos_as_xyz
'x,y,z'
loop_
_atom_site_label
_atom_site_fract_x
_atom_site_fract_y
_atom_site_fract_z
_atom_site_occupancy
S1 0.000 0.500 0.000 1
S2 0.500 0.000 0.000 1
Cl1 0.000 0.000 0.500 1
Ge1 0.500 0.500 0.500 1
H1 0.000 0.000 0.000 1
```

Output
* space-group type: P4/mmm (123)
* energy above the lowest structure with this stoichiometry: 0 meV per atom
* raw total energy: -3.22 eV/atom

=====

Record 9
A plane-wave DFT calculation with GGA-PBE was carried out for crystalline MnW at its relaxed geometry.

CIF file:
```
data_MnW
_cell_length_a 2.798
_cell_length_b 2.798
_cell_length_c 8.457
_cell_angle_alpha 90.00
_cell_angle_beta 90.00
_cell_angle_gamma 120.00
_symmetry_space_group_name_H-M 'P 1'
_symmetry_Int_Tables_number 1
loop_
_symmetry_equiv_pos_as_xyz
'x,y,z'
loop_
_atom_site_label
_atom_site_fract_x
_atom_site_fract_y
_atom_site_fract_z
_atom_site_occupancy
Mn1 0.333 0.667 0.250 1
Mn2 0.667 0.333 0.750 1
W1 0.000 0.000 0.000 1
W2 0.000 0.000 0.500 1
```

Output
* space-group type: P6_3/mmc (194)
* raw total energy: -10.66 eV/atom
* calculated formation energy: 0.405 eV/atom

=====

Record 10
A plane-wave DFT calculation with GGA-PBE was carried out for crystalline Al3As at its relaxed geometry.

CIF file:
```
data_Al3As
_cell_length_a 4.127
_cell_length_b 4.127
_cell_length_c 4.127
_cell_angle_alpha 90.00
_cell_angle_beta 90.00
_cell_angle_gamma 90.00
_symmetry_space_group_name_H-M 'P 1'
_symmetry_Int_Tables_number 1
loop_
_symmetry_equiv_pos_as_xyz
'x,y,z'
loop_
_atom_site_label
_atom_site_fract_x
_atom_site_fract_y
_atom_site_fract_z
_atom_site_occupancy
As1 0.000 0.000 0.000 1
Al1 0.000 0.500 0.500 1
Al2 0.500 0.000 0.500 1
Al3 0.500 0.500 0.000 1
```

Output
* space-group type: Pm-3m (221)
* energy above the lowest structure with this stoichiometry: 126 meV per atom
* raw total energy: -3.85 eV/atom
* calculated formation energy: 0.121 eV/atom